1.
Hf2Pd3Pt: relaxed, PBE.

a b c (Å): 3.431 3.431 8.732
angles (deg): 90.00 90.00 90.00
Sites, in units of the cell vectors:
Hf: 0.000 0.000 0.000
Hf: 0.500 0.500 0.495
Pd: 0.000 0.000 0.337
Pd: 0.000 0.000 0.657
Pd: 0.500 0.500 0.831
Pt: 0.500 0.500 0.154

2.
HfPdPt: relaxed, PBE.

## Properties
Energy above the most stable polymorph in this dataset = 348.2 meV per atom

a b c (Å): 4.397 4.397 4.397
angles (deg): 60.00 60.00 60.00
Sites, in units of the cell vectors:
Hf: 0.000 0.000 0.000
Pd: 0.750 0.750 0.750
Pt: 0.250 0.250 0.250

3.
Hf2Pd3Pt3: relaxed, PBE.

a b c (Å): 4.018 4.045 7.967
angles (deg): 90.00 90.00 90.00
Sites, in units of the cell vectors:
Hf: 0.000 0.000 0.249
Hf: 0.000 0.000 0.751
Pd: 0.000 0.500 0.500
Pd: 0.500 0.500 0.251
Pd: 0.500 0.500 0.749
Pt: 0.000 0.500 0.000
Pt: 0.500 0.000 0.000
Pt: 0.500 0.000 0.500

4.
HfPdPt: relaxed, PBE.

## Properties
Energy above the most stable polymorph in this dataset = 381.0 meV per atom

a b c (Å): 4.407 4.407 4.407
angles (deg): 60.00 60.00 60.00
Sites, in units of the cell vectors:
Hf: 0.000 0.000 0.000
Pd: 0.500 0.500 0.500
Pt: 0.250 0.250 0.250

5.
HfPdPt: relaxed, PBE.

## Properties
Energy above the most stable polymorph in this dataset = 1.6 meV per atom

a b c (Å): 6.837 3.461 8.752
angles (deg): 90.00 90.00 90.00
Sites, in units of the cell vectors:
Hf: 0.124 0.250 0.248
Hf: 0.376 0.750 0.748
Hf: 0.624 0.250 0.252
Hf: 0.876 0.750 0.752
Pd: 0.126 0.250 0.585
Pd: 0.374 0.750 0.085
Pd: 0.626 0.250 0.915
Pd: 0.874 0.750 0.415
Pt: 0.125 0.250 0.905
Pt: 0.375 0.750 0.405
Pt: 0.625 0.250 0.595
Pt: 0.875 0.750 0.095

6.
HfPdPt2: relaxed, PBE.

a b c (Å): 4.556 4.556 4.556
angles (deg): 60.00 60.00 60.00
Sites, in units of the cell vectors:
Hf: 0.000 0.000 0.000
Pd: 0.750 0.750 0.750
Pt: 0.250 0.250 0.250
Pt: 0.500 0.500 0.500

7.
HfPdPt: relaxed, PBE.

## Properties
Energy above the most stable polymorph in this dataset = 0.0 meV per atom

a b c (Å): 4.997 4.997 4.997
angles (deg): 139.67 139.67 58.35
Sites, in units of the cell vectors:
Hf: 0.000 0.000 0.000
Pd: 0.334 0.334 0.000
Pt: 0.655 0.655 0.000

8.
HfPdPt: relaxed, PBE.

## Properties
Energy above the most stable polymorph in this dataset = 14.4 meV per atom

a b c (Å): 3.440 3.440 8.734
angles (deg): 90.00 90.00 90.00
Sites, in units of the cell vectors:
Hf: 0.000 0.000 0.000
Hf: 0.500 0.500 0.500
Pd: 0.000 0.000 0.341
Pd: 0.000 0.000 0.659
Pt: 0.500 0.500 0.162
Pt: 0.500 0.500 0.838

| no. | formation enthalpy at 0 K (eV per formula unit) |
| --- | --- |
| 1 | -5.389 |
| 2 | -1.868 |
| 3 | -8.045 |
| 4 | -1.770 |
| 5 | -2.908 |
| 6 | -3.027 |
| 7 | -2.913 |
| 8 | -2.870 |